Ba3NaSb2O8: optimized geometry, GGA-PBE.

abc: 6.1364 6.1364 7.8977
angles: 90.00 90.00 120.00
Element x y z (fractional)
Ba  0.3333  0.6667  0.6385
Ba  0.6667  0.3333  0.3615
Ba  0.0000  0.0000  0.0000
Na  0.0000  0.0000  0.5000
Sb  0.3333  0.6667  0.1969
Sb  0.6667  0.3333  0.8031
O  0.3333  0.6667  0.9521
O  0.6667  0.3333  0.0479
O  0.1692  0.8308  0.3053
O  0.8308  0.1692  0.6947
O  0.1692  0.3385  0.3053
O  0.8308  0.6615  0.6947
O  0.6615  0.8308  0.3053
O  0.3385  0.1692  0.6947

Computed properties:
The total DFT energy (no corrections) is -5.886 eV per atom. Its raw formation energy is -1957 meV per atom. The space group is P-3m1 (164).

Ba2NaSbO: optimized geometry, GGA-PBE.

abc: 5.4718 5.4718 4.9292
angles: 90.00 90.00 90.00
Element x y z (fractional)
Sb  0.5000  0.5000  0.5000
Ba  0.0000  0.5000  0.0000
Ba  0.5000  0.0000  0.0000
O  0.0000  0.0000  0.0000
Na  0.0000  0.0000  0.5000

Computed properties:
The total DFT energy (no corrections) is -4.331 eV per atom. Its raw formation energy is -1482 meV per atom. The space group is P4/mmm (123).

- Which of these has the lowest total DFT energy (no corrections)?
  Ba3NaSb2O8

- total DFT energy (no corrections) of number 2 (Ba2NaSbO)?
  -4.331 eV per atom

- Which of these has the highest raw formation energy?
  Ba2NaSbO